(1)
# Er2IrPb, relaxed, DFT GGA-PBE
# * SG: Fm-3m
# * total DFT energy (no corrections): -23.7 eV per cell
# * offset from the most stable computed form: 0.205 eV per atom
# * DFT formation energy: -0.50 eV/atom
# * DOS at the Fermi energy: 0.948 states/eV per atom
data_Er2IrPb
_cell_length_a 5.093
_cell_length_b 5.093
_cell_length_c 5.093
_cell_angle_alpha 60.00
_cell_angle_beta 60.00
_cell_angle_gamma 60.00
_space_group_name_H-M_alt 'P 1'
_space_group_IT_number 1
_space_group_name_Hall 'P 1'
loop_
_atom_site_label
_atom_site_type_symbol
_atom_site_fract_x
_atom_site_fract_y
_atom_site_fract_z
Er1 Er 0.250 0.250 0.250
Er2 Er 0.750 0.750 0.750
Ir1 Ir 0.000 0.000 0.000
Pb1 Pb 0.500 0.500 0.500

---

(2)
# Er3IrPb, relaxed, DFT GGA-PBE
# * SG: P2_1/m
# * total DFT energy (no corrections): -58.2 eV per cell
# * DFT formation energy: -0.57 eV/atom
# * DOS at the Fermi energy: 0.621 states/eV per atom
data_Er3IrPb
_cell_length_a 5.621
_cell_length_b 6.729
_cell_length_c 7.284
_cell_angle_alpha 90.00
_cell_angle_beta 102.74
_cell_angle_gamma 90.00
_space_group_name_H-M_alt 'P 1'
_space_group_IT_number 1
_space_group_name_Hall 'P 1'
loop_
_atom_site_label
_atom_site_type_symbol
_atom_site_fract_x
_atom_site_fract_y
_atom_site_fract_z
Er1 Er 0.138 0.250 0.099
Er2 Er 0.327 0.009 0.704
Er3 Er 0.327 0.491 0.704
Er4 Er 0.673 0.509 0.296
Er5 Er 0.673 0.991 0.296
Er6 Er 0.862 0.750 0.901
Ir1 Ir 0.389 0.750 0.993
Ir2 Ir 0.611 0.250 0.007
Pb1 Pb 0.179 0.750 0.330
Pb2 Pb 0.821 0.250 0.670

---

(3)
# ErIrPdPb, relaxed, DFT GGA-PBE
# * SG: F-43m
# * total DFT energy (no corrections): -24.3 eV per cell
# * DFT formation energy: -0.48 eV/atom
# * DOS at the Fermi energy: 0.831 states/eV per atom
data_ErIrPdPb
_cell_length_a 4.808
_cell_length_b 4.808
_cell_length_c 4.808
_cell_angle_alpha 60.00
_cell_angle_beta 60.00
_cell_angle_gamma 60.00
_space_group_name_H-M_alt 'P 1'
_space_group_IT_number 1
_space_group_name_Hall 'P 1'
loop_
_atom_site_label
_atom_site_type_symbol
_atom_site_fract_x
_atom_site_fract_y
_atom_site_fract_z
Er1 Er 0.000 0.000 0.000
Ir1 Ir 0.750 0.750 0.750
Pd1 Pd 0.250 0.250 0.250
Pb1 Pb 0.500 0.500 0.500

---

Question: Look up the total DFT energy (no corrections) of the second one.
Answer: -58.2 eV per cell